--- A ---
A plane-wave DFT calculation with PBE was carried out for crystalline BaScFe at its relaxed geometry.

a b c (Å): 4.5049 4.5049 5.1509
angles (deg): 90.00 90.00 120.00
Last column: magnetic moment on the atom in μB.
Element x y z (fractional)
Fe 0.6667 0.3333 0.4995  2.05
Sc 0.3333 0.6667 0.5003  -0.53
Ba 0.0000 0.0000 0.0002  -0.12

## Properties
ρ in g/cm3: 4.37
Space-group type: No. 187
Total magnetic moment in μB/atom: 0.312

--- B ---
A plane-wave DFT calculation with PBE was carried out for crystalline BaScFe at its relaxed geometry.

a b c (Å): 4.9129 4.9129 4.9129
angles (deg): 60.00 60.00 60.00
Last column: magnetic moment on the atom in μB.
Element x y z (fractional)
Sc 0.5000 0.5000 0.5000  -0.41
Ba 0.7500 0.7500 0.7500  -0.20
Fe 0.0000 0.0000 0.0000  2.64

## Properties
ρ in g/cm3: 4.72
Space-group type: No. 216
Total magnetic moment in μB/atom: 0.605

Computed energies relative to the best structure, in meV per atom: A 0; B 781

--- A ---
A plane-wave DFT calculation with PBE was carried out for crystalline BaFeSe at its relaxed geometry.

a b c (Å): 5.3455 5.3455 5.3455
angles (deg): 60.00 60.00 60.00
Last column: magnetic moment on the atom in μB.
Element x y z (fractional)
Ba 0.7500 0.7500 0.7500  0.01
Se 0.5000 0.5000 0.5000  0.16
Fe 0.0000 0.0000 0.0000  3.31

## Properties
ρ in g/cm3: 4.18
Space-group type: No. 216
Total magnetic moment in μB/atom: 1.300

--- B ---
A plane-wave DFT calculation with PBE was carried out for crystalline BaFeSe at its relaxed geometry.

a b c (Å): 6.2546 6.2546 6.2546
angles (deg): 146.36 146.36 48.31
Last column: magnetic moment on the atom in μB.
Element x y z (fractional)
Ba 0.9973 0.9973 0.0000  -0.12
Se 0.7155 0.7155 0.0000  0.06
Fe 0.2873 0.2873 0.0000  2.88

## Properties
ρ in g/cm3: 6.04
Space-group type: No. 107
Total magnetic moment in μB/atom: 0.876

--- C ---
A plane-wave DFT calculation with PBE was carried out for crystalline BaFeSe at its relaxed geometry.

a b c (Å): 4.7356 4.7356 4.7356
angles (deg): 60.00 60.00 60.00
Last column: magnetic moment on the atom in μB.
Element x y z (fractional)
Fe 0.7500 0.7500 0.7500  2.21
Ba 0.5000 0.5000 0.5000  -0.04
Se 0.0000 0.0000 0.0000  0.02

## Properties
ρ in g/cm3: 6.02
Space-group type: No. 216
Total magnetic moment in μB/atom: 0.708

Computed energies relative to the best structure, in meV per atom: A 490; B 0; C 147

--- A ---
A plane-wave DFT calculation with PBE was carried out for crystalline BaFe3Se at its relaxed geometry.

a b c (Å): 4.6477 4.6477 4.6477
angles (deg): 90.00 90.00 90.00
Last column: magnetic moment on the atom in μB.
Element x y z (fractional)
Se 0.0000 0.0000 0.0000  -0.05
Ba 0.5000 0.5000 0.5000  -0.20
Fe 0.0000 0.0000 0.5000  2.21
Fe 0.5000 0.0000 0.0000  2.33
Fe 0.0000 0.5000 0.0000  2.31

## Properties
ρ in g/cm3: 6.35
Space-group type: No. 221
Total magnetic moment in μB/atom: 1.217

--- B ---
A plane-wave DFT calculation with PBE was carried out for crystalline BaFe3Se at its relaxed geometry.

a b c (Å): 4.9330 4.9330 4.9330
angles (deg): 90.00 90.00 90.00
Last column: magnetic moment on the atom in μB.
Element x y z (fractional)
Ba 0.0000 0.0000 0.0000  -0.31
Se 0.5000 0.5000 0.5000  0.12
Fe 0.0000 0.5000 0.0000  2.62
Fe 0.5000 0.0000 0.0000  2.43
Fe 0.0000 0.0000 0.5000  2.44

## Properties
ρ in g/cm3: 5.31
Space-group type: No. 221
Total magnetic moment in μB/atom: 1.457

Computed energies relative to the best structure, in meV per atom: A 0; B 1686

--- A ---
A plane-wave DFT calculation with PBE was carried out for crystalline BaFe3Si at its relaxed geometry.

a b c (Å): 4.9196 4.9196 4.9196
angles (deg): 90.00 90.00 90.00
Last column: magnetic moment on the atom in μB.
Element x y z (fractional)
Fe 0.0000 0.5000 0.0000  2.60
Fe 0.0000 0.0000 0.5000  2.54
Fe 0.5000 0.0000 0.0000  2.55
Ba 0.0000 0.0000 0.0000  -0.25
Si 0.5000 0.5000 0.5000  0.01

## Properties
ρ in g/cm3: 4.64
Space-group type: No. 221
Total magnetic moment in μB/atom: 1.507

--- B ---
A plane-wave DFT calculation with PBE was carried out for crystalline BaFe3Si at its relaxed geometry.

a b c (Å): 4.6355 4.6355 4.6355
angles (deg): 90.00 90.00 90.00
Last column: magnetic moment on the atom in μB.
Element x y z (fractional)
Fe 0.5000 0.0000 0.0000  2.75
Fe 0.0000 0.0000 0.5000  2.56
Fe 0.0000 0.5000 0.0000  2.73
Ba 0.5000 0.5000 0.5000  -0.10
Si 0.0000 0.0000 0.0000  -0.05

## Properties
ρ in g/cm3: 5.55
Space-group type: No. 221
Total magnetic moment in μB/atom: 1.544

Computed energies relative to the best structure, in meV per atom: A 1935; B 0